*P*
Rb2TlS: optimized geometry, PBE-GGA. Values from VASP.

Quantum ESPRESSO input file:
```
&SYSTEM
  ibrav = 0, nat = 8, ntyp = 3
/
ATOMIC_SPECIES
S 32.06 S.upf
Tl 204.38 Tl.upf
Rb 85.47 Rb.upf
CELL_PARAMETERS angstrom
-0.254 8.241 7.121
-10.388 -2.324 2.320
-4.360 0.981 7.043
ATOMIC_POSITIONS crystal
S 0.250 0.750 0.500
Tl 0.000 0.000 0.000
Rb 0.375 0.496 0.750
Rb 0.875 0.754 0.750
Tl 0.750 0.250 0.500
S 0.500 0.500 0.000
Rb 0.504 0.125 0.250
Rb 0.246 0.625 0.250
```

Calculated values
magnetic moment = 1.00 μB per formula unit
space group = I-42d

---

*Q*
Rb2TlS: optimized geometry, PBE-GGA. Values from VASP.

Quantum ESPRESSO input file:
```
&SYSTEM
  ibrav = 0, nat = 4, ntyp = 3
/
ATOMIC_SPECIES
Rb 85.47 Rb.upf
S 32.06 S.upf
Tl 204.38 Tl.upf
CELL_PARAMETERS angstrom
-4.939 -0.864 3.151
-4.540 -2.976 -2.367
-1.341 -5.418 1.977
ATOMIC_POSITIONS crystal
Rb 0.250 0.250 0.250
S 0.000 0.000 0.000
Tl 0.500 0.500 0.500
Rb 0.750 0.750 0.750
```

Calculated values
magnetic moment = 0.00 μB per formula unit
space group = Fm-3m

---

Short version: *P* is the most stable of them.

---

*P*
RbTl2S: optimized geometry, PBE-GGA. Values from VASP.

Quantum ESPRESSO input file:
```
&SYSTEM
  ibrav = 0, nat = 8, ntyp = 3
/
ATOMIC_SPECIES
Tl 204.38 Tl.upf
Rb 85.47 Rb.upf
S 32.06 S.upf
CELL_PARAMETERS angstrom
-3.748 -8.146 -1.616
-1.296 -1.177 8.942
-5.503 -3.241 3.418
ATOMIC_POSITIONS crystal
Tl 0.875 0.814 0.750
Rb 0.750 0.250 0.500
Rb 0.000 0.000 0.000
Tl 0.186 0.625 0.250
Tl 0.564 0.125 0.250
S 0.250 0.750 0.500
Tl 0.375 0.436 0.750
S 0.500 0.500 0.000
```

Calculated values
magnetic moment = 0.00 μB per formula unit
space group = I-42d

---

*Q*
RbTl2S: optimized geometry, PBE-GGA. Values from VASP.

Quantum ESPRESSO input file:
```
&SYSTEM
  ibrav = 0, nat = 4, ntyp = 3
/
ATOMIC_SPECIES
S 32.06 S.upf
Tl 204.38 Tl.upf
Rb 85.47 Rb.upf
CELL_PARAMETERS angstrom
0.000 3.990 3.990
3.990 0.000 3.990
3.990 3.990 0.000
ATOMIC_POSITIONS crystal
S 0.000 0.000 0.000
Tl 0.250 0.250 0.250
Tl 0.750 0.750 0.750
Rb 0.500 0.500 0.500
```

Calculated values
magnetic moment = 0.00 μB per formula unit
space group = Fm-3m

---

*R*
RbTl2S: optimized geometry, PBE-GGA. Values from VASP.

Quantum ESPRESSO input file:
```
&SYSTEM
  ibrav = 0, nat = 4, ntyp = 3
/
ATOMIC_SPECIES
Tl 204.38 Tl.upf
S 32.06 S.upf
Rb 85.47 Rb.upf
CELL_PARAMETERS angstrom
4.337 0.000 0.000
2.168 3.756 0.000
2.168 1.252 11.019
ATOMIC_POSITIONS crystal
Tl 0.882 0.882 0.355
S 0.500 0.500 0.500
Rb 0.000 0.000 0.000
Tl 0.118 0.118 0.645
```

Calculated values
magnetic moment = 0.00 μB per formula unit
space group = R-3m

---

Short version: *P* is the most stable of them.

---

*P*
Rb2TlS2: optimized geometry, PBE-GGA. Values from VASP.

Quantum ESPRESSO input file:
```
&SYSTEM
  ibrav = 0, nat = 10, ntyp = 3
/
ATOMIC_SPECIES
Tl 204.38 Tl.upf
Rb 85.47 Rb.upf
S 32.06 S.upf
CELL_PARAMETERS angstrom
-3.791 3.238 0.709
-1.123 -2.935 7.405
7.502 4.250 2.822
ATOMIC_POSITIONS crystal
Tl 0.405 0.428 0.811
Rb 0.799 0.089 0.598
Rb 0.964 0.787 0.928
S 0.844 0.480 0.687
Tl 0.595 0.928 0.189
S 0.156 0.980 0.313
S 0.447 0.082 0.893
Rb 0.201 0.589 0.402
Rb 0.036 0.287 0.072
S 0.553 0.582 0.107
```

Calculated values
magnetic moment = 0.00 μB per formula unit
space group = Cmc2_1

---

*Q*
Rb2TlS2: optimized geometry, PBE-GGA. Values from VASP.

Quantum ESPRESSO input file:
```
&SYSTEM
  ibrav = 0, nat = 10, ntyp = 3
/
ATOMIC_SPECIES
S 32.06 S.upf
Rb 85.47 Rb.upf
Tl 204.38 Tl.upf
CELL_PARAMETERS angstrom
-4.813 -3.900 5.401
5.501 1.432 5.936
-2.198 4.148 1.036
ATOMIC_POSITIONS crystal
S 0.320 0.820 0.000
Rb 0.862 0.362 0.500
Rb 0.362 0.138 0.500
S 0.820 0.680 0.000
Rb 0.138 0.638 0.500
Tl 0.000 0.000 0.000
Rb 0.638 0.862 0.500
Tl 0.500 0.500 0.000
S 0.180 0.320 0.000
S 0.680 0.180 0.000
```

Calculated values
magnetic moment = 0.00 μB per formula unit
space group = P4/mbm

---

Short version: *P* is the most stable of them.

---

*P*
Rb3US4: optimized geometry, PBE-GGA. Values from VASP.

Quantum ESPRESSO input file:
```
&SYSTEM
  ibrav = 0, nat = 8, ntyp = 3
/
ATOMIC_SPECIES
S 32.06 S.upf
Rb 85.47 Rb.upf
U 238.03 U.upf
CELL_PARAMETERS angstrom
8.011 -0.116 0.002
-4.046 6.915 -0.002
-3.499 -2.515 6.754
ATOMIC_POSITIONS crystal
S 0.158 0.700 0.858
Rb 0.062 0.000 0.062
S 0.158 0.300 0.458
Rb 0.523 0.218 0.741
S 0.600 0.248 0.352
S 0.104 0.752 0.352
U 0.023 0.500 0.523
Rb 0.523 0.782 0.305
```

Calculated values
magnetic moment = 1.00 μB per formula unit
space group = Imm2

---

*Q*
Rb3US4: optimized geometry, PBE-GGA. Values from VASP.

Quantum ESPRESSO input file:
```
&SYSTEM
  ibrav = 0, nat = 16, ntyp = 3
/
ATOMIC_SPECIES
Rb 85.47 Rb.upf
U 238.03 U.upf
S 32.06 S.upf
CELL_PARAMETERS angstrom
7.387 -0.040 0.000
-2.628 7.691 0.000
0.000 0.000 9.159
ATOMIC_POSITIONS crystal
Rb 0.250 0.000 0.612
U 0.750 0.000 0.885
S 0.500 0.820 0.094
S 0.000 0.180 0.094
S 0.500 0.180 0.906
Rb 0.250 0.500 0.887
Rb 0.250 0.500 0.375
S 0.000 0.820 0.906
Rb 0.750 0.000 0.388
S 0.056 0.789 0.311
S 0.944 0.211 0.689
Rb 0.750 0.500 0.625
S 0.556 0.789 0.689
S 0.444 0.211 0.311
U 0.250 0.000 0.115
Rb 0.750 0.500 0.113
```

Calculated values
magnetic moment = 1.00 μB per formula unit
space group = P2/c

---

Short version: *Q* is the most stable of them.